Material: Y2AgPt
Method: DFT, GGA-PBE
State: optimized geometry

Size of the total moment ... 0.00 Bohr magnetons per cell
E_tot ... -6.13 eV per atom
V ... 25.8 A^3/atom
ΔE_f ... -672 meV per atom

a b c (Å): 4.1355 4.1355 20.9412
angles (deg): 90.00 90.00 120.00
Space group R-3m (No. 166, hexagonal axes)
Asymmetric unit:
Y 0.0000 0.0000 0.2412
Ag 0.0000 0.0000 0.0000
Pt 0.0000 0.0000 0.5000



Material: YAg3Pt
Method: DFT, GGA-PBE
State: optimized geometry

Size of the total moment ... 0.00 Bohr magnetons per cell
E_tot ... -3.85 eV per atom
E above lowest polymorph ... 0.000 eV/atom
V ... 25.8 A^3/atom
ΔE_f ... 361 meV per atom

a b c (Å): 5.0505 5.0505 5.0505
angles (deg): 90.00 90.00 90.00
Space group Pm-3m (No. 221)
Asymmetric unit:
Y 0.0000 0.0000 0.0000
Ag 0.0000 0.5000 0.5000
Pt 0.5000 0.5000 0.5000



Material: Y8Ag2Pt
Method: DFT, GGA-PBE
State: optimized geometry

Size of the total moment ... 0.00 Bohr magnetons per cell
E_tot ... -6.10 eV per atom
E above lowest polymorph ... 0.000 eV/atom
V ... 27.6 A^3/atom
ΔE_f ... -330 meV per atom

a b c (Å): 17.7236 5.2087 6.8521
angles (deg): 90.00 106.47 90.00
Space group C2/m (No. 12)
Asymmetric unit:
Y 0.0279 0.0000 0.2857
Y 0.0898 0.5000 0.9389
Y 0.1614 0.5000 0.4738
Y 0.2025 0.0000 0.8195
Ag 0.1843 0.0000 0.2255
Pt 0.0000 0.5000 0.5000